[1]
SrLi2Ni | PBE-GGA | relaxed

It has space group R3m (No. 160, hexagonal axes), with a = 4.4140 Å, b = 4.4140 Å, c = 16.0411 Å, α = 90.00°, β = 90.00° and γ = 120.00°. Symmetry generates all atoms from Sr at (0.0000, 0.0000, 0.0000), Li at (0.0000, 0.0000, 0.5182), Li at (0.0000, 0.0000, 0.8084) and Ni at (0.0000, 0.0000, 0.2008).

As for the total moment: 0.00 μB/cell. The value obtained for the offset from the most stable computed form is 0 meV per atom. The crystal system is trigonal. The calculated formation energy comes out at 0.0680 eV per atom. As for the total DFT energy (no corrections): -33.1 eV/cell. The density of states at the Fermi level comes out at 0.462 states/eV/atom.

=====

[2]
SrLi2Ni | PBE-GGA | relaxed

It has space group P4mm (No. 99), with a = 3.531 Å, b = 3.531 Å, c = 7.126 Å, α = 90.00°, β = 90.00° and γ = 90.00°. Symmetry generates all atoms from Sr at (0.000, 0.000, 0.000), Li at (0.000, 0.000, 0.586), Li at (0.500, 0.500, 0.388) and Ni at (0.500, 0.500, 0.745).

As for the total moment: 0.00 μB/cell. The value obtained for the offset from the most stable computed form is 72 meV per atom. The crystal system is tetragonal. The calculated formation energy comes out at 0.1395 eV per atom. As for the total DFT energy (no corrections): -10.7 eV/cell. The density of states at the Fermi level comes out at 0.720 states/eV/atom.

=====

[3]
Sr2LiNi | PBE-GGA | relaxed

It has space group C2/m (No. 12), with a = 7.241 Å, b = 4.166 Å, c = 9.565 Å, α = 90.00°, β = 104.22° and γ = 90.00°. Symmetry generates all atoms from Sr at (0.226, 0.000, 0.182), Li at (0.000, 0.000, 0.500) and Ni at (0.000, 0.500, 0.000).

As for the total moment: 0.00 μB/cell. The crystal system is monoclinic. The calculated formation energy comes out at 0.1341 eV per atom. As for the total DFT energy (no corrections): -21.0 eV/cell. The density of states at the Fermi level comes out at 0.602 states/eV/atom.

=====

[4]
SrLiNi3 | PBE-GGA | relaxed

It has space group Pm-3m (No. 221), with a = 4.913 Å, b = 4.913 Å, c = 4.913 Å, α = 90.00°, β = 90.00° and γ = 90.00°. Symmetry generates all atoms from Sr at (0.000, 0.000, 0.000), Li at (0.500, 0.500, 0.500) and Ni at (0.000, 0.000, 0.500).

As for the total moment: 0.00 μB/cell. The value obtained for the offset from the most stable computed form is 1067 meV per atom. The crystal system is cubic. The calculated formation energy comes out at 1.5238 eV per atom. As for the total DFT energy (no corrections): -13.3 eV/cell. The density of states at the Fermi level comes out at 0.934 states/eV/atom.